First-principles (PBE) data for a relaxed structure of Tb3Pr2Ho6Zr, as listed in Alexandria via LeMat-Bulk.

Output
Mass density, g/cm³: 8.18
Calculated formation energy, eV/atom: 0.0542

abc: 6.1190 6.1190 11.6816
angles: 94.99 94.99 119.94
Sites, in units of the cell vectors:
Pr (0.3333, 0.6667, 0.0000)
Ho (0.9172, 0.5912, 0.7522)
Ho (0.7568, 0.7568, 0.2475)
Ho (0.4088, 0.0828, 0.2478)
Ho (0.0828, 0.4088, 0.2478)
Tb (0.1663, 0.8337, 0.5000)
Zr (0.0000, 0.0000, 0.0000)
Ho (0.2432, 0.2432, 0.7525)
Pr (0.6667, 0.3333, 0.0000)
Tb (0.8337, 0.1663, 0.5000)
Tb (0.5000, 0.5000, 0.5000)
Ho (0.5912, 0.9172, 0.7522)

***

First-principles (PBE) data for a relaxed structure of TbPrHoZr, as listed in Alexandria via LeMat-Bulk.

Output
Mass density, g/cm³: 7.67
Calculated formation energy, eV/atom: 0.2333

abc: 5.5416 5.5416 5.5416
angles: 60.00 60.00 60.00
Sites, in units of the cell vectors:
Zr (0.2500, 0.2500, 0.2500)
Pr (0.7500, 0.7500, 0.7500)
Tb (0.5000, 0.5000, 0.5000)
Ho (0.0000, 0.0000, 0.0000)

***

no.,VASP energy (eV per atom)
1,-4.901
2,-5.401